Record 1
MgZnS2: optimized geometry, PBE.

a = 5.178 Å, b = 5.178 Å, c = 10.304 Å
α = 90.00°, β = 90.00°, γ = 90.00°
Space group I4_1/amd (No. 141, origin choice 2)
Unique sites:
Mg 0.000 0.250 0.375 [4 per cell]
Zn 0.000 0.250 0.875 [4 per cell]
S 0.000 0.250 0.120 [8 per cell]

Calculated values
Formation energy (no corrections): -0.95 eV per atom

Record 2
LaMg2Ge2Au2: optimized geometry, PBE.

a = 4.4789 Å, b = 4.4789 Å, c = 24.9465 Å
α = 90.00°, β = 90.00°, γ = 120.00°
Space group R-3m (No. 166, hexagonal axes)
Unique sites:
La 0.0000 0.0000 0.0000 [3 per cell]
Mg 0.0000 0.0000 0.1389 [6 per cell]
Ge 0.0000 0.0000 0.2608 [6 per cell]
Au 0.0000 0.0000 0.4354 [6 per cell]

Calculated values
Calculated formation energy: -4.130 eV per formula unit

Record 3
Ti2CdAg2: optimized geometry, PBE.

a = 7.684 Å, b = 7.684 Å, c = 3.147 Å
α = 90.00°, β = 90.00°, γ = 90.00°
Space group P4/mbm (No. 127)
Unique sites:
Ti 0.167 0.333 0.000 [4 per cell]
Cd 0.000 0.000 0.500 [2 per cell]
Ag 0.129 0.629 0.500 [4 per cell]

Calculated values
E above lowest polymorph: 0.00 eV/f.u.
Calculated formation energy: 0.730 eV per formula unit

Record 4
Rb5CdTeO2: optimized geometry, PBE.

a = 5.776 Å, b = 5.776 Å, c = 10.003 Å
α = 90.00°, β = 90.00°, γ = 90.00°
Space group P4/mmm (No. 123)
Unique sites:
Rb 0.000 0.000 0.000 [1 per cell]
Rb 0.000 0.500 0.256 [4 per cell]
Cd 0.000 0.000 0.500 [1 per cell]
Te 0.500 0.500 0.000 [1 per cell]
O 0.000 0.000 0.294 [2 per cell]

Calculated values
Formation energy (no corrections): -0.95 eV per atom

| no. | electronic total energy (eV/atom) | ρ (Mg/m³) |
| --- | --- | --- |
| 1 | -3.74 | 3.7 |
| 2 | -4.01 | 8.4 |
| 3 | -4.34 | 7.6 |
| 4 | -3.04 | 3.5 |